This record from the Alexandria database describes a geometry-optimized PrScMoO6 structure. The functional is PBE+U.

Unit cell a=5.350 b=5.350 c=5.094 alpha=90.00 beta=90.00 gamma=120.00
Element x y z (fractional)
Pr 0.000 0.000 0.000
Sc 0.333 0.667 0.500
Mo 0.667 0.333 0.500
O 0.375 0.022 0.715
O 0.375 0.353 0.285
O 0.647 0.022 0.285
O 0.647 0.625 0.715
O 0.978 0.353 0.715
O 0.978 0.625 0.285

- Calculated total energy: -8.00 eV/atom
- Space group: No. 149
- Volume: 126.3 Å³/cell
- Total magnetic moment: 0.00 μB/atom